The following is a GGA-PBE calculation of a relaxed La2DyZr crystal, from the Alexandria database.

Cell lengths 3.4271, 3.4271, 12.3817 Å; angles 82.05, 82.05, 60.00 degrees
Positions (direct):
1 La 0.0838 0.0838 0.7486
2 La 0.9162 0.9162 0.2514
3 Zr 0.0000 0.0000 0.0000
4 Dy 0.5000 0.5000 0.5000

Summary:
- ΔE to the lowest computed polymorph: 0.182 eV/atom
- Total moment: 0.000 μB per atom
- E_form: 312 meV per atom
- Space group: R-3m, No. 166